BaBe2Os | Alexandria | PBE | relaxed; total magnetic moment = 0.00 μB/f.u.; ΔH_f (0 K) = 1092.4 meV per atom; distance to the lowest polymorph of the same formula = 950.4 meV/atom
1.0
1.8214 -3.5505 -2.3679
-2.4401 -3.9057 -0.5668
-1.6765 -1.1016 -4.1840
Be Os Ba
2 1 1
Cartesian
-0.5738 -2.1395 -1.7797
-1.7214 -6.4184 -5.3390
-1.1476 -4.2789 -3.5593
0.0000 0.0000 0.0000

=====

Ba2BeOs | Alexandria | PBE | relaxed; total magnetic moment = 0.00 μB/f.u.; ΔH_f (0 K) = 369.2 meV per atom
1.0
4.1992 0.0000 0.0000
0.0000 4.7777 -0.0039
0.0000 2.3933 5.9985
Be Os Ba
1 1 2
Cartesian
0.0000 4.4834 3.3296
2.0996 4.4816 4.1171
0.0000 6.8709 5.4427
2.0996 2.0917 2.0973

=====

BaBe2Os | Alexandria | PBE | relaxed; total magnetic moment = 0.00 μB/f.u.; ΔH_f (0 K) = 319.4 meV per atom; distance to the lowest polymorph of the same formula = 177.4 meV/atom
1.0
3.4418 0.0000 0.0000
0.0000 3.2255 -0.0011
0.0000 1.5971 6.5299
Be Os Ba
2 1 1
Cartesian
0.0000 0.6017 0.6739
1.7209 0.6038 1.9443
0.0000 2.2153 2.2223
1.7209 3.8132 4.9526

=====

BaBe2Os | Alexandria | PBE | relaxed; total magnetic moment = 0.00 μB/f.u.; ΔH_f (0 K) = 449.5 meV per atom; distance to the lowest polymorph of the same formula = 307.4 meV/atom
1.0
-2.6770 1.3227 -3.7160
-3.9444 -0.8766 2.5295
-3.2813 7.3643 1.9275
Be Os Ba
4 2 2
Cartesian
-3.6555 2.8888 -2.4531
-5.6282 2.4507 -1.1890
-3.9582 5.9096 0.3685
-5.2961 6.5711 -1.4900
0.0000 0.0000 0.0000
-4.6345 4.4551 -1.1909
-3.3107 0.2231 -0.5933
-5.2682 3.3554 1.9319

=====

Ba2BeOs | Alexandria | PBE | relaxed; total magnetic moment = 0.00 μB/f.u.; ΔH_f (0 K) = 1050.0 meV per atom
1.0
5.4687 -0.1434 0.0000
1.1872 5.3402 0.0000
-3.3280 -2.5984 3.4785
Be Os Ba
1 1 2
Cartesian
3.3280 2.5984 0.0000
2.7343 -0.0717 1.7393
0.0000 0.0000 0.0000
0.5936 2.6701 1.7393

=====

Ba2BeOs | Alexandria | PBE | relaxed; total magnetic moment = 0.00 μB/f.u.; ΔH_f (0 K) = 426.6 meV per atom
1.0
-0.4308 3.1698 -1.1693
-3.3119 -0.6292 -0.4855
-1.8453 2.9721 8.7366
Be Os Ba
1 1 2
Cartesian
-1.1085 1.7854 5.2482
-3.0655 3.1936 4.8262
-1.6741 2.6963 7.9258
-2.5079 2.2956 2.1864

=====

| no. | D(E_F) (states/eV/f.u.) | E_tot (eV per formula unit) | V (Å³ per cell) |
| --- | --- | --- | --- |
| 1 | 1.96 | -16.235 | 70.64 |
| 2 | 1.88 | -17.324 | 120.39 |
| 3 | 1.15 | -19.327 | 72.50 |
| 4 | 0.96 | -18.807 | 172.10 |
| 5 | 2.59 | -14.601 | 102.18 |
| 6 | 3.35 | -17.095 | 109.17 |